Here is a crystal of TlInPb2 relaxed with PBEsol from the Alexandria database. Energies are from meta-GGA SCAN. Values from VASP.

Properties
SG   P4/mmm (123)
DOS at the Fermi energy   1.97 states/eV/f.u.
Polymorph energy (0 for the lowest one)   0.05 eV/f.u.
Formation energy   0.027 eV per atom
Spin magnetization   0.0000 μB per atom

```
&SYSTEM
  ibrav = 0, nat = 4, ntyp = 3
/
ATOMIC_SPECIES
In 114.82 In.upf
Pb 207.20 Pb.upf
Tl 204.38 Tl.upf
CELL_PARAMETERS angstrom
3.4576 0.0000 0.0000
0.0000 3.4576 0.0000
0.0000 0.0000 9.4166
ATOMIC_POSITIONS crystal
In 0.5000 0.5000 0.5000
Pb 0.0000 0.0000 0.2566
Pb 0.0000 0.0000 0.7435
Tl 0.5000 0.5000 0.0000
```